# KScTi2Bi, relaxed, DFT GGA-PBEsol
# DOS at the Fermi energy = 8.294 states/eV/f.u.
# M_tot = 5.294 μB/f.u.
# energy of formation = 109.1 kJ/mol of atoms
# raw total energy = -23.015 eV/f.u.
data_KScTi2Bi
_chemical_formula_sum 'K1 Sc1 Ti2 Bi1'
_cell_length_a 5.276
_cell_length_b 5.276
_cell_length_c 5.945
_cell_angle_alpha 90.00
_cell_angle_beta 90.00
_cell_angle_gamma 90.00
_space_group_name_H-M_alt 'P 4/m m m'
_space_group_IT_number 123
_space_group_name_Hall '-P 4 2'
loop_
_atom_site_label
_atom_site_fract_x
_atom_site_fract_y
_atom_site_fract_z
K1 0.000 0.000 0.000
Sc1 0.500 0.500 0.000
Ti1 0.000 0.500 0.500
Bi1 0.000 0.000 0.500

***

# KBiSe3, relaxed, DFT GGA-PBEsol
# DOS at the Fermi energy = 8.016 states/eV/f.u.
# M_tot = 0.006 μB/f.u.
# energy relative to the elements, uncorrected = 0.885 eV per atom
# raw total energy = -12.543 eV/f.u.
data_KBiSe3
_chemical_formula_sum 'K1 Bi1 Se3'
_cell_length_a 5.351
_cell_length_b 5.351
_cell_length_c 5.351
_cell_angle_alpha 90.00
_cell_angle_beta 90.00
_cell_angle_gamma 90.00
_space_group_name_H-M_alt 'P m -3 m'
_space_group_IT_number 221
_space_group_name_Hall '-P 4 2 3'
loop_
_atom_site_label
_atom_site_fract_x
_atom_site_fract_y
_atom_site_fract_z
K1 0.000 0.000 0.000
Bi1 0.500 0.500 0.500
Se1 0.000 0.000 0.500

***

# KSi2Bi2, relaxed, DFT GGA-PBEsol
# DOS at the Fermi energy = 1.749 states/eV/f.u.
# M_tot = 0.000 μB/f.u.
# energy relative to the elements, uncorrected = 0.198 eV per atom
# raw total energy = -20.208 eV/f.u.
data_KSi2Bi2
_chemical_formula_sum 'K2 Si4 Bi4'
_cell_length_a 5.031
_cell_length_b 5.031
_cell_length_c 12.374
_cell_angle_alpha 90.00
_cell_angle_beta 90.00
_cell_angle_gamma 90.00
_space_group_name_H-M_alt 'I 4/m m m'
_space_group_IT_number 139
_space_group_name_Hall '-I 4 2'
loop_
_atom_site_label
_atom_site_fract_x
_atom_site_fract_y
_atom_site_fract_z
K1 0.000 0.000 0.000
Si1 0.000 0.500 0.250
Bi1 0.000 0.000 0.356

***

# KSi3Bi, relaxed, DFT GGA-PBEsol
# DOS at the Fermi energy = 3.497 states/eV/f.u.
# M_tot = 0.000 μB/f.u.
# energy relative to the elements, uncorrected = 1.120 eV per atom
# raw total energy = -17.061 eV/f.u.
data_KSi3Bi
_chemical_formula_sum 'K1 Si3 Bi1'
_cell_length_a 5.434
_cell_length_b 5.434
_cell_length_c 5.434
_cell_angle_alpha 90.00
_cell_angle_beta 90.00
_cell_angle_gamma 90.00
_space_group_name_H-M_alt 'P m -3 m'
_space_group_IT_number 221
_space_group_name_Hall '-P 4 2 3'
loop_
_atom_site_label
_atom_site_fract_x
_atom_site_fract_y
_atom_site_fract_z
K1 0.000 0.000 0.000
Si1 0.000 0.500 0.500
Bi1 0.500 0.500 0.500

***

# KSn2Bi2, relaxed, DFT GGA-PBEsol
# DOS at the Fermi energy = 2.163 states/eV/f.u.
# M_tot = 0.000 μB/f.u.
# energy of formation = -10.3 kJ/mol of atoms
# raw total energy = -18.755 eV/f.u.
data_KSn2Bi2
_chemical_formula_sum 'K2 Sn4 Bi4'
_cell_length_a 5.228
_cell_length_b 5.228
_cell_length_c 13.423
_cell_angle_alpha 90.00
_cell_angle_beta 90.00
_cell_angle_gamma 90.00
_space_group_name_H-M_alt 'I 4/m m m'
_space_group_IT_number 139
_space_group_name_Hall '-I 4 2'
loop_
_atom_site_label
_atom_site_fract_x
_atom_site_fract_y
_atom_site_fract_z
K1 0.000 0.000 0.000
Sn1 0.000 0.500 0.250
Bi1 0.000 0.000 0.378

***

# K2SnBi2, relaxed, DFT GGA-PBEsol
# DOS at the Fermi energy = 2.294 states/eV/f.u.
# M_tot = 0.000 μB/f.u.
# energy of formation = -24.8 kJ/mol of atoms
# raw total energy = -16.379 eV/f.u.
data_K2SnBi2
_chemical_formula_sum 'K4 Sn2 Bi4'
_cell_length_a 8.101
_cell_length_b 8.101
_cell_length_c 5.575
_cell_angle_alpha 90.00
_cell_angle_beta 90.00
_cell_angle_gamma 90.00
_space_group_name_H-M_alt 'P 4/m b m'
_space_group_IT_number 127
_space_group_name_Hall '-P 4 2ab'
loop_
_atom_site_label
_atom_site_fract_x
_atom_site_fract_y
_atom_site_fract_z
K1 0.172 0.328 0.000
Sn1 0.000 0.000 0.500
Bi1 0.132 0.632 0.500

***

# K2SnBi, relaxed, DFT GGA-PBEsol
# DOS at the Fermi energy = 0.760 states/eV/f.u.
# M_tot = 0.000 μB/f.u.
# energy of formation = -34.1 kJ/mol of atoms
# raw total energy = -12.226 eV/f.u.
data_K2SnBi
_chemical_formula_sum 'K8 Sn4 Bi4'
_cell_length_a 6.796
_cell_length_b 13.420
_cell_length_c 6.376
_cell_angle_alpha 90.00
_cell_angle_beta 90.00
_cell_angle_gamma 90.00
_space_group_name_H-M_alt 'P b c m'
_space_group_IT_number 57
loop_
_space_group_symop_operation_xyz
'x,y,z'
'-x,-y,-z'
'-x,-y,z+1/2'
'x,y,-z+1/2'
'x,-y+1/2,-z'
'-x,y+1/2,z'
'-x,y+1/2,-z+1/2'
'x,-y+1/2,z+1/2'
loop_
_atom_site_label
_atom_site_fract_x
_atom_site_fract_y
_atom_site_fract_z
K1 0.113 0.168 0.250
K2 0.340 0.009 0.750
Sn1 0.405 0.750 0.000
Bi1 0.157 0.603 0.750

***

# KSr2Bi2, relaxed, DFT GGA-PBEsol
# DOS at the Fermi energy = 0.929 states/eV/f.u.
# M_tot = 0.000 μB/f.u.
# energy of formation = -71.2 kJ/mol of atoms
# raw total energy = -17.077 eV/f.u.
data_KSr2Bi2
_chemical_formula_sum 'K2 Sr4 Bi4'
_cell_length_a 9.784
_cell_length_b 9.784
_cell_length_c 3.910
_cell_angle_alpha 90.00
_cell_angle_beta 90.00
_cell_angle_gamma 90.00
_space_group_name_H-M_alt 'P 4/m b m'
_space_group_IT_number 127
_space_group_name_Hall '-P 4 2ab'
loop_
_atom_site_label
_atom_site_fract_x
_atom_site_fract_y
_atom_site_fract_z
K1 0.000 0.000 0.000
Sr1 0.135 0.365 0.500
Bi1 0.163 0.663 0.000